(1)
Computed, not measured: ScSn2Rh after structural relaxation at the GGA-PBE level of DFT.

The formation energy is -0.414 eV per atom. The calculation puts the energy at -5.8358 eV/atom. As for the density of states at the Fermi level: 1.18 states/eV/cell.

Cell and atoms, written as POSCAR:
```
ScSn2Rh
1.0
0.000 3.413 3.413
3.413 0.000 3.413
3.413 3.413 0.000
Sc Sn Rh
1 2 1
Direct
0.000 0.000 0.000
0.250 0.250 0.250
0.750 0.750 0.750
0.500 0.500 0.500
```

=====

(2)
Computed, not measured: CuIrPt2 after structural relaxation at the GGA-PBE level of DFT.

As for the relative energy among the computed polymorphs: 262.4 meV per atom. The formation energy is 0.210 eV per atom. The calculation puts the energy at -6.0498 eV/atom. As for the density of states at the Fermi level: 6.97 states/eV/cell.

Cell and atoms, written as POSCAR:
```
CuIrPt2
1.0
0.000 3.094 3.094
3.094 0.000 3.094
3.094 3.094 0.000
Cu Ir Pt
1 1 2
Direct
0.000 0.000 0.000
0.750 0.750 0.750
0.250 0.250 0.250
0.500 0.500 0.500
```

=====

(3)
Computed, not measured: YTaOs4 after structural relaxation at the GGA-PBE level of DFT.

The formation energy is -0.067 eV per atom. The calculation puts the energy at -10.6067 eV/atom. As for the density of states at the Fermi level: 4.48 states/eV/cell.

Cell and atoms, written as POSCAR:
```
YTaOs4
1.0
0.000 3.714 3.714
3.714 0.000 3.714
3.714 3.714 0.000
Y Ta Os
1 1 4
Direct
0.000 0.000 0.000
0.250 0.250 0.250
0.124 0.625 0.625
0.625 0.124 0.625
0.625 0.625 0.124
0.625 0.625 0.625
```

=====

(4)
Computed, not measured: Ac3Co2Sn7 after structural relaxation at the GGA-PBE level of DFT.

The formation energy is -0.517 eV per atom. The calculation puts the energy at -5.0631 eV/atom. As for the density of states at the Fermi level: 8.12 states/eV/cell.

Cell and atoms, written as POSCAR:
```
Ac3Co2Sn7
1.0
4.714 0.000 0.000
0.000 4.753 0.000
-2.349 0.000 14.125
Ac Co Sn
3 2 7
Direct
0.000 0.000 0.000
0.315 0.500 0.631
0.685 0.500 0.369
0.126 0.000 0.254
0.874 0.000 0.746
0.091 0.500 0.181
0.217 0.000 0.434
0.410 0.000 0.818
0.500 0.500 0.000
0.590 0.000 0.182
0.783 0.000 0.566
0.909 0.500 0.819
```

=====

(5)
Computed, not measured: DyHo2Th after structural relaxation at the GGA-PBE level of DFT.

As for the relative energy among the computed polymorphs: 43.4 meV per atom. The formation energy is 0.049 eV per atom. The calculation puts the energy at -5.2453 eV/atom. As for the density of states at the Fermi level: 6.24 states/eV/cell.

Cell and atoms, written as POSCAR:
```
DyHo2Th
1.0
0.000 3.568 4.971
3.564 0.000 4.971
3.564 3.568 0.000
Dy Ho Th
1 2 1
Direct
0.000 0.000 0.000
0.250 0.250 0.250
0.750 0.750 0.750
0.500 0.500 0.500
```

=====

(6)
Computed, not measured: Th2InGa3Ir4 after structural relaxation at the GGA-PBE level of DFT.

The formation energy is -0.669 eV per atom. The calculation puts the energy at -6.8792 eV/atom. As for the density of states at the Fermi level: 6.66 states/eV/cell.

Cell and atoms, written as POSCAR:
```
Th2InGa3Ir4
1.0
4.252 0.000 0.000
0.000 4.252 0.000
0.000 0.000 10.827
Th In Ga Ir
2 1 3 4
Direct
0.000 0.500 0.235
0.500 0.000 0.765
0.000 0.000 0.500
0.000 0.500 0.878
0.500 0.000 0.122
0.500 0.500 0.500
0.000 0.000 0.000
0.000 0.500 0.652
0.500 0.000 0.348
0.500 0.500 0.000
```

=====

(7)
Computed, not measured: Ac2LaAg after structural relaxation at the GGA-PBE level of DFT.

As for the relative energy among the computed polymorphs: 202.8 meV per atom. The formation energy is 0.097 eV per atom. The calculation puts the energy at -3.9015 eV/atom. As for the density of states at the Fermi level: 5.61 states/eV/cell.

Cell and atoms, written as POSCAR:
```
Ac2LaAg
1.0
0.000 4.087 4.087
4.087 0.000 4.087
4.087 4.087 0.000
Ac La Ag
2 1 1
Direct
0.250 0.250 0.250
0.750 0.750 0.750
0.000 0.000 0.000
0.500 0.500 0.500
```

=====

(8)
Computed, not measured: U4InS7 after structural relaxation at the GGA-PBE level of DFT.

For the uncorrected formation energy, the calculation gives -117.2 kJ/mol of atoms. The calculation puts the energy at -7.6132 eV/atom. As for the density of states at the Fermi level: 16.68 states/eV/cell.

Cell and atoms, written as POSCAR:
```
U4InS7
1.0
3.944 0.000 0.000
-1.972 3.415 0.000
0.000 0.000 23.837
U In S
4 1 7
Direct
0.333 0.667 0.162
0.333 0.667 0.433
0.667 0.333 0.567
0.667 0.333 0.838
0.000 0.000 0.000
0.000 0.000 0.221
0.000 0.000 0.500
0.000 0.000 0.779
0.333 0.667 0.626
0.333 0.667 0.904
0.667 0.333 0.096
0.667 0.333 0.374
```

=====

no.,total moment (μB per formula unit)
1,0.00
2,0.02
3,0.00
4,0.00
5,0.00
6,0.00
7,1.80
8,9.35